[1]
VASP calculation (PBE-GGA) on a relaxed structure of Er5Pt2Au2. Values from VASP.

The structure in Quantum ESPRESSO input format:
```
&SYSTEM
  ibrav = 0, nat = 18, ntyp = 3
/
ATOMIC_SPECIES
Er 167.26 Er.upf
Au 196.97 Au.upf
Pt 195.08 Pt.upf
ATOMIC_POSITIONS crystal
Er 0.670 0.038 0.734
Au 0.000 0.794 0.588
Pt 0.634 0.868 0.000
Er 0.670 0.304 0.266
Er 0.170 0.196 0.734
Pt 0.866 0.368 0.000
Au 0.500 0.706 0.412
Er 0.000 0.000 0.000
Pt 0.134 0.632 0.000
Er 0.330 0.962 0.266
Er 0.170 0.462 0.266
Er 0.500 0.500 0.000
Au 0.500 0.294 0.588
Er 0.830 0.538 0.734
Er 0.330 0.696 0.734
Er 0.830 0.804 0.266
Pt 0.366 0.132 0.000
Au 0.000 0.206 0.412
CELL_PARAMETERS angstrom
-7.054 -2.610 1.312
2.772 -6.715 1.546
-0.750 5.295 6.505
```

Values from the calculation:
**Energy of formation**: -1006 meV/atom

[2]
VASP calculation (PBE-GGA) on a relaxed structure of SrPrCdSi. Values from VASP.

The structure in Quantum ESPRESSO input format:
```
&SYSTEM
  ibrav = 0, nat = 4, ntyp = 4
/
ATOMIC_SPECIES
Si 28.09 Si.upf
Cd 112.41 Cd.upf
Sr 87.62 Sr.upf
Pr 140.91 Pr.upf
ATOMIC_POSITIONS crystal
Si 0.250 0.250 0.250
Cd 0.750 0.750 0.750
Sr 0.500 0.500 0.500
Pr 0.000 0.000 0.000
CELL_PARAMETERS angstrom
5.410 0.000 0.000
2.705 4.685 0.000
2.705 1.562 4.417
```

Values from the calculation:
**ΔE_f (raw)**: -109.2 kJ/mol of formula units

[3]
VASP calculation (PBE-GGA) on a relaxed structure of Dy12Bi6C. Values from VASP.

The structure in Quantum ESPRESSO input format:
```
&SYSTEM
  ibrav = 0, nat = 19, ntyp = 3
/
ATOMIC_SPECIES
Dy 162.50 Dy.upf
Bi 208.98 Bi.upf
C 12.01 C.upf
ATOMIC_POSITIONS crystal
Dy 0.419 0.539 0.197
Bi 0.115 0.650 0.302
Bi 0.698 0.885 0.350
Dy 0.937 0.998 0.705
Dy 0.539 0.197 0.419
Dy 0.002 0.295 0.063
C 0.000 0.000 0.000
Dy 0.295 0.063 0.002
Dy 0.998 0.705 0.937
Bi 0.302 0.115 0.650
Dy 0.063 0.002 0.295
Bi 0.885 0.350 0.698
Dy 0.581 0.461 0.803
Bi 0.650 0.302 0.115
Dy 0.461 0.803 0.581
Dy 0.705 0.937 0.998
Dy 0.197 0.419 0.539
Dy 0.803 0.581 0.461
Bi 0.350 0.698 0.885
CELL_PARAMETERS angstrom
8.519 -0.066 -0.079
-1.357 8.411 -0.079
-1.357 -1.581 8.261
```

Values from the calculation:
**Energy of formation**: -467 meV/atom

[4]
VASP calculation (PBE-GGA) on a relaxed structure of K3PdF. Values from VASP.

The structure in Quantum ESPRESSO input format:
```
&SYSTEM
  ibrav = 0, nat = 5, ntyp = 3
/
ATOMIC_SPECIES
K 39.10 K.upf
Pd 106.42 Pd.upf
F 19.00 F.upf
ATOMIC_POSITIONS crystal
K 0.000 0.000 0.500
K 0.500 0.000 0.000
Pd 0.500 0.500 0.500
K 0.000 0.500 0.000
F 0.000 0.000 0.000
CELL_PARAMETERS angstrom
-4.337 -2.954 0.234
2.724 -4.138 -1.744
1.165 -1.319 4.949
```

Values from the calculation:
**ΔE_f (raw)**: -499.6 kJ/mol of formula units
**Offset from the most stable computed form**: 0.000 eV per atom

[5]
VASP calculation (PBE-GGA) on a relaxed structure of TaSi2PBr. Values from VASP.

The structure in Quantum ESPRESSO input format:
```
&SYSTEM
  ibrav = 0, nat = 5, ntyp = 4
/
ATOMIC_SPECIES
Br 79.90 Br.upf
Ta 180.95 Ta.upf
P 30.97 P.upf
Si 28.09 Si.upf
ATOMIC_POSITIONS crystal
Br 0.000 0.500 0.000
Ta 0.500 0.500 0.500
P 0.000 0.000 0.000
Si 0.500 0.000 0.000
Si 0.000 0.000 0.500
CELL_PARAMETERS angstrom
4.478 0.000 0.000
0.000 4.815 0.000
0.000 0.000 4.478
```

Values from the calculation:
**ΔE_f (raw)**: 594.1 kJ/mol of formula units

[6]
VASP calculation (PBE-GGA) on a relaxed structure of TlGeP2Cl. Values from VASP.

The structure in Quantum ESPRESSO input format:
```
&SYSTEM
  ibrav = 0, nat = 5, ntyp = 4
/
ATOMIC_SPECIES
Cl 35.45 Cl.upf
Tl 204.38 Tl.upf
P 30.97 P.upf
Ge 72.64 Ge.upf
ATOMIC_POSITIONS crystal
Cl 0.000 0.000 0.500
Tl 0.500 0.500 0.500
P 0.500 0.000 0.000
P 0.000 0.500 0.000
Ge 0.000 0.000 0.000
CELL_PARAMETERS angstrom
-4.650 -0.504 -0.802
0.863 -0.609 -4.626
0.456 -5.503 0.810
```

Values from the calculation:
**ΔE_f (raw)**: 166.7 kJ/mol of formula units
**Offset from the most stable computed form**: 0.000 eV per atom

[7]
VASP calculation (PBE-GGA) on a relaxed structure of Pu2HfCu9. Values from VASP.

The structure in Quantum ESPRESSO input format:
```
&SYSTEM
  ibrav = 0, nat = 12, ntyp = 3
/
ATOMIC_SPECIES
Cu 63.55 Cu.upf
Pu 244.00 Pu.upf
Hf 178.49 Hf.upf
ATOMIC_POSITIONS crystal
Cu 0.421 0.918 0.240
Cu 0.579 0.579 0.760
Cu 0.500 0.500 0.500
Cu 0.421 0.421 0.240
Pu 0.145 0.145 0.564
Cu 0.668 0.668 0.996
Cu 0.918 0.421 0.240
Cu 0.332 0.332 0.004
Pu 0.855 0.855 0.436
Hf 0.000 0.000 0.000
Cu 0.579 0.082 0.760
Cu 0.082 0.579 0.760
CELL_PARAMETERS angstrom
4.821 0.000 1.435
2.197 4.292 1.435
-0.008 -0.005 8.846
```

Values from the calculation:
**Energy of formation**: -17 meV/atom

[8]
VASP calculation (PBE-GGA) on a relaxed structure of Sr2CuIr. Values from VASP.

The structure in Quantum ESPRESSO input format:
```
&SYSTEM
  ibrav = 0, nat = 4, ntyp = 3
/
ATOMIC_SPECIES
Sr 87.62 Sr.upf
Ir 192.22 Ir.upf
Cu 63.55 Cu.upf
ATOMIC_POSITIONS crystal
Sr 0.000 0.000 0.909
Ir 0.500 0.500 0.671
Cu 0.000 0.000 0.582
Sr 0.500 0.500 0.338
CELL_PARAMETERS angstrom
3.540 0.000 0.000
0.000 3.540 0.000
0.000 0.000 8.671
```

Values from the calculation:
**Energy of formation**: 123 meV/atom

Number 1: total magnetization 0.00 μB per formula unit, electronic total energy -50.50 eV/f.u., V 23.81 A^3/atom. Number 2: total magnetization 0.00 μB per formula unit, electronic total energy -13.93 eV/f.u., V 28.00 A^3/atom. Number 3: total magnetization 0.01 μB per formula unit, electronic total energy -96.61 eV/f.u., V 31.00 A^3/atom. Number 4: total magnetization 0.00 μB per formula unit, electronic total energy -15.53 eV/f.u., V 28.98 A^3/atom. Number 5: total magnetization 0.00 μB per formula unit, electronic total energy -23.62 eV/f.u., V 19.31 A^3/atom. Number 6: total magnetization 0.82 μB per formula unit, electronic total energy -17.92 eV/f.u., V 25.13 A^3/atom. Number 7: total magnetization 11.35 μB per formula unit, electronic total energy -75.68 eV/f.u., V 15.26 A^3/atom. Number 8: total magnetization 0.00 μB per formula unit, electronic total energy -15.83 eV/f.u., V 27.17 A^3/atom.